Record 1
A relaxed structure of HgAu5, computed with PBE-GGA.

Computed properties:
Its energy of formation is 62 meV per atom.

CIF file:
```
data_HgAu5
_symmetry_space_group_name_H-M 'P 6/m m m'
_symmetry_Int_Tables_number 191
_symmetry_space_group_name_Hall '-P 6 2'
_cell_length_a 5.5895
_cell_length_b 5.5895
_cell_length_c 4.6891
_cell_angle_alpha 90.00
_cell_angle_beta 90.00
_cell_angle_gamma 120.00
loop_
_atom_site_label
_atom_site_fract_x
_atom_site_fract_y
_atom_site_fract_z
_atom_site_occupancy
Hg1 0.0000 0.0000 0.0000 1
Au1 0.0000 0.5000 0.5000 1
Au2 0.3333 0.6667 0.0000 1
```


Record 2
A relaxed structure of Y2SbH2, computed with PBE-GGA.

CIF file:
```
data_Y2SbH2
_symmetry_space_group_name_H-M 'I 4/m m m'
_symmetry_Int_Tables_number 139
_symmetry_space_group_name_Hall '-I 4 2'
_cell_length_a 3.8736
_cell_length_b 3.8736
_cell_length_c 11.6979
_cell_angle_alpha 90.00
_cell_angle_beta 90.00
_cell_angle_gamma 90.00
loop_
_atom_site_label
_atom_site_fract_x
_atom_site_fract_y
_atom_site_fract_z
_atom_site_occupancy
Y1 0.0000 0.0000 0.1445 1
Sb1 0.0000 0.0000 0.5000 1
H1 0.0000 0.5000 0.2500 1
```


| no. | calculated density (g/cm³) | ΔE to the lowest computed polymorph (meV/atom) |
| --- | --- | --- |
| 1 | 15.515 | 26 |
| 2 | 5.706 | 0 |